CaZr2Tl (PBE-GGA, optimized geometry); theoretical density = 6.51 g/cm³; E above lowest polymorph = 490 meV per atom; formation enthalpy at 0 K = 1.815 eV/f.u.; magnetic moment = 0.0 μB per formula unit; N(E_F) = 7.40 states/eV/f.u.; calculated total energy = -4.912 eV per atom
1.0
-0.3789 7.7378 3.5856
-2.9318 -3.4886 7.2186
1.1502 1.8055 6.3873
Zr Ca Tl
4 2 2
Direct
0.3750 0.3464 0.7500
0.6536 0.1250 0.2500
0.8750 0.9036 0.7500
0.0964 0.6250 0.2500
0.2500 0.7500 0.5000
0.5000 0.5000 0.0000
0.0000 0.0000 0.0000
0.7500 0.2500 0.5000


Hg2Ir (PBE-GGA, optimized geometry); theoretical density = 14.69 g/cm³; formation enthalpy at 0 K = 0.921 eV/f.u.; magnetic moment = 0.0 μB per formula unit; N(E_F) = 1.10 states/eV/f.u.; calculated total energy = -2.848 eV per atom
1.0
0.7422 9.2384 -8.5333
-2.8180 -7.5668 9.6706
2.5276 1.7213 2.0834
Ir Hg
2 4
Direct
0.2700 0.7300 0.7500
0.7300 0.2700 0.2500
0.3600 0.6400 0.2500
0.9498 0.0502 0.7500
0.6400 0.3600 0.7500
0.0502 0.9498 0.2500


LaTbGdEr (PBE-GGA, optimized geometry); theoretical density = 7.73 g/cm³; formation enthalpy at 0 K = 0.416 eV/f.u.; magnetic moment = 7.7 μB per formula unit; N(E_F) = 7.91 states/eV/f.u.; calculated total energy = -6.946 eV per atom
1.0
-2.5859 3.7056 3.5396
1.0355 -0.2206 5.6415
3.0452 4.1599 2.5238
Er Gd Tb La
1 1 1 1
Direct
0.5000 0.5000 0.5000
0.7500 0.7500 0.7500
0.0000 0.0000 0.0000
0.2500 0.2500 0.2500


TeAsIr2 (PBE-GGA, optimized geometry); theoretical density = 14.03 g/cm³; E above lowest polymorph = 553 meV per atom; magnetic moment = 0.0 μB per formula unit; ΔE_f (raw) = 421.3 meV/atom; N(E_F) = 4.14 states/eV/f.u.; calculated total energy = -5.957 eV per atom
1.0
4.7558 -0.0062 0.0000
0.7074 4.7029 0.0000
-2.7316 -2.3483 3.1050
As Ir Te
1 2 1
Direct
0.7500 0.2500 0.5000
0.5000 0.5000 0.0000
0.0000 0.0000 0.0000
0.2500 0.7500 0.5000


Nd3HoTh2As6 (PBE-GGA, optimized geometry); theoretical density = 7.75 g/cm³; formation enthalpy at 0 K = -17.913 eV/f.u.; magnetic moment = 0.0 μB per formula unit; N(E_F) = 4.13 states/eV/f.u.; calculated total energy = -6.628 eV per atom
1.0
4.2455 0.0000 0.0000
0.0000 8.4713 0.2890
-2.1228 -2.4543 8.9169
Nd Th As Ho
3 2 6 1
Direct
0.8338 0.1656 0.6676
0.1662 0.8344 0.3324
0.5000 0.5000 0.0000
0.8353 0.6699 0.6707
0.1647 0.3301 0.3293
0.9997 0.7572 0.9994
0.3322 0.4186 0.6645
0.3362 0.9164 0.6724
0.0003 0.2428 0.0006
0.6638 0.0836 0.3276
0.6678 0.5814 0.3355
0.5000 0.0000 0.0000


Nd6PdPb2 (PBE-GGA, optimized geometry); theoretical density = 8.29 g/cm³; formation enthalpy at 0 K = -4.125 eV/f.u.; magnetic moment = 0.0 μB per formula unit; N(E_F) = 11.13 states/eV/f.u.; calculated total energy = -5.038 eV per atom
1.0
-3.3336 -0.6940 -1.7976
-2.3640 -5.8076 6.6262
-2.2014 8.8298 0.6736
Nd Pb Pd
6 2 1
Direct
0.0000 0.2466 0.0000
0.0000 0.7534 0.7533
0.5000 0.0000 0.5990
0.5000 0.5992 0.0000
0.5000 0.4010 0.4010
0.0000 0.0001 0.2467
0.0000 0.3333 0.6667
0.0000 0.6666 0.3333
0.5000 0.0000 0.0000


Pr3Sm3Ag2 (PBE-GGA, optimized geometry); theoretical density = 7.26 g/cm³; formation enthalpy at 0 K = -0.496 eV/f.u.; magnetic moment = 0.0 μB per formula unit; N(E_F) = 9.40 states/eV/f.u.; calculated total energy = -4.337 eV per atom
1.0
5.2178 0.0000 0.0000
-2.6089 5.9170 0.0000
0.0000 0.0000 16.1325
Sm Pr Ag
6 6 4
Direct
0.3566 0.7131 0.5312
0.3566 0.7131 0.9688
0.4193 0.8386 0.2500
0.6434 0.2869 0.0312
0.5807 0.1614 0.7500
0.6434 0.2869 0.4688
0.0424 0.0848 0.6092
0.0424 0.0848 0.8908
0.9576 0.9152 0.3908
0.2993 0.5986 0.7500
0.9576 0.9152 0.1092
0.7007 0.4014 0.2500
0.7727 0.5455 0.6258
0.2273 0.4545 0.3742
0.2273 0.4545 0.1258
0.7727 0.5455 0.8742


Ba2ScAgPt (PBE-GGA, optimized geometry); theoretical density = 5.27 g/cm³; formation enthalpy at 0 K = 1.693 eV/f.u.; magnetic moment = 0.0 μB per formula unit; N(E_F) = 4.31 states/eV/f.u.; calculated total energy = -3.475 eV per atom
1.0
-2.4523 4.6857 -3.1975
-0.9015 -3.1663 -3.9485
-5.5682 -1.3228 2.3321
Ba Ag Sc Pt
2 1 1 1
Direct
0.0000 0.0000 0.5000
0.5000 0.0000 0.0000
0.0000 0.0000 0.0000
0.0000 0.5000 0.0000
0.5000 0.5000 0.5000


FeCuSb4 (PBE-GGA, optimized geometry); theoretical density = 6.30 g/cm³; magnetic moment = 3.8 μB per formula unit; ΔE_f (raw) = 934.3 meV/atom; N(E_F) = 7.72 states/eV/f.u.; calculated total energy = -3.907 eV per atom
1.0
0.0000 4.3067 4.3067
4.3067 0.0000 4.3067
4.3067 4.3067 0.0000
Fe Sb Cu
1 4 1
Direct
0.0000 0.0000 0.0000
0.3754 0.8737 0.3754
0.3754 0.3754 0.3754
0.8737 0.3754 0.3754
0.3754 0.3754 0.8737
0.7500 0.7500 0.7500


SrAuN2 (PBE-GGA, optimized geometry); theoretical density = 7.41 g/cm³; E above lowest polymorph = 651 meV per atom; magnetic moment = 0.0 μB per formula unit; ΔE_f (raw) = 1151.7 meV/atom; N(E_F) = 1.99 states/eV/f.u.; calculated total energy = -4.251 eV per atom
1.0
-3.1078 -6.1611 1.1842
-0.9677 -6.7739 -1.4820
0.2618 -6.7698 1.7664
N Sr Au
2 1 1
Direct
0.1219 0.1219 0.1219
0.8781 0.8781 0.8781
0.0000 0.0000 0.0000
0.5000 0.5000 0.5000


Sb2As2Rh (PBE-GGA, optimized geometry); theoretical density = 7.12 g/cm³; E above lowest polymorph = 181 meV per atom; magnetic moment = 0.0 μB per formula unit; ΔE_f (raw) = 337.4 meV/atom; N(E_F) = 2.92 states/eV/f.u.; calculated total energy = -4.642 eV per atom
1.0
5.0379 1.2552 -1.6250
-0.9449 5.0981 1.6469
-0.6768 -4.0714 3.5443
As Rh Sb
2 1 2
Direct
0.3252 0.3252 0.0000
0.6748 0.6748 0.0000
0.0000 0.0000 0.0000
0.7500 0.2500 0.5000
0.2500 0.7500 0.5000


ScTi4In5 (PBE-GGA, optimized geometry); theoretical density = 6.81 g/cm³; formation enthalpy at 0 K = -1.937 eV/f.u.; magnetic moment = 0.6 μB per formula unit; N(E_F) = 10.58 states/eV/f.u.; calculated total energy = -5.354 eV per atom
1.0
-0.7520 -2.7174 1.1370
2.4501 -1.2285 -1.3155
11.5066 4.1581 17.5478
Ti In Sc
4 5 1
Direct
0.0000 0.0000 0.5983
0.0000 0.0000 0.2065
0.0000 0.0000 0.7935
0.0000 0.0000 0.4017
0.5000 0.5000 0.5000
0.5000 0.5000 0.6958
0.5000 0.5000 0.8923
0.5000 0.5000 0.1077
0.5000 0.5000 0.3042
0.0000 0.0000 0.0000